{
  "formula": "LiNi2W",
  "functional": "GGA-PBEsol",
  "state": "optimized geometry",
  "final_energy_ev_per_cell": -27.9,
  "delta_e_f_ev_per_atom": 0.038,
  "crystal_system": "tetragonal",
  "sg": "P4/mmm, No. 123",
  "lattice": [[2.678, 0.000, 0.000], [0.000, 2.678, 0.000], [0.000, 0.000, 6.571]],
  "species": ["Li", "Ni", "Ni", "W"],
  "fractional_positions": [[0.000, 0.000, 0.000], [0.500, 0.500, 0.234], [0.500, 0.500, 0.766], [0.000, 0.000, 0.500]]
}